1.
A plane-wave DFT calculation with GGA-PBE was carried out for a geometry-optimized YNb2Au structure.

Calculated values
volume: 21.72 Å³/atom
uncorrected energy: -7.22 eV per atom
DOS(E_F): 0.842 states/eV/atom
excess energy over the best structure of this formula in the dataset: 0 meV/atom
spin magnetization: 0.00 Bohr magnetons per cell

abc: 3.995 3.995 21.778
angles: 90.00 90.00 90.00
Space group I-42d (No. 122)
Unique sites:
Y1 0.000 0.000 0.000 [4 per cell]
Nb1 0.244 0.250 0.625 [8 per cell]
Au1 0.000 0.000 0.500 [4 per cell]


2.
A plane-wave DFT calculation with GGA-PBE was carried out for a geometry-optimized YNb2Au structure.

Calculated values
volume: 19.73 Å³/atom
uncorrected energy: -7.15 eV per atom
DOS(E_F): 0.566 states/eV/atom
excess energy over the best structure of this formula in the dataset: 71 meV/atom
spin magnetization: 0.00 Bohr magnetons per cell

abc: 6.809 6.809 6.809
angles: 90.00 90.00 90.00
Space group Fm-3m (No. 225)
Unique sites:
Y1 0.000 0.000 0.000 [4 per cell]
Nb1 0.250 0.250 0.250 [8 per cell]
Au1 0.000 0.000 0.500 [4 per cell]


3.
A plane-wave DFT calculation with GGA-PBE was carried out for a geometry-optimized YNbAu2 structure.

Calculated values
volume: 20.90 Å³/atom
uncorrected energy: -6.02 eV per atom
DOS(E_F): 1.037 states/eV/atom
excess energy over the best structure of this formula in the dataset: 0 meV/atom
spin magnetization: 7.01 Bohr magnetons per cell

abc: 6.941 6.941 6.941
angles: 90.00 90.00 90.00
Space group Fm-3m (No. 225)
Unique sites:
Y1 0.000 0.000 0.000 [4 per cell]
Nb1 0.000 0.000 0.500 [4 per cell]
Au1 0.250 0.250 0.250 [8 per cell]